# 1
Below is Er2As4Rh5 after structural relaxation, with properties calculated at the PBE-GGA level.

## Properties
- energy (eV/atom) = -6.541

Unit cell a=5.5045 b=5.5393 c=8.0007 alpha=80.16 beta=69.88 gamma=60.21
Closest atoms and distances in Å follow each position.
Fractional positions:
1 As 0.7854 0.6881 0.7412  5 Rh 2.45-2.55
2 As 0.5265 0.6881 0.2588  5 Rh 2.45-2.55
3 As 0.4735 0.3119 0.7412  5 Rh 2.45-2.55
4 As 0.2146 0.3119 0.2588  5 Rh 2.45-2.55
5 Rh 0.0000 0.5000 0.0000  4 As 2.55, 4 Rh 2.75-2.77
6 Rh 0.2500 0.5000 0.5000  4 As 2.45
7 Rh 0.5000 0.0000 0.0000  4 As 2.46
8 Rh 0.7500 0.5000 0.5000  4 As 2.45
9 Rh 0.5000 0.5000 0.0000  4 As 2.55, 4 Rh 2.75-2.77
10 Er 0.1267 0.0000 0.7466  6 As 3.13-3.31, 10 Rh 3.33-3.36
11 Er 0.8733 0.0000 0.2534  6 As 3.13-3.31, 10 Rh 3.33-3.36


# 2
Below is Li8Ca3Ag after structural relaxation, with properties calculated at the PBE-GGA level.

## Properties
- energy (eV/atom) = -2.020

Unit cell a=5.8809 b=5.8809 c=10.2753 alpha=73.37 beta=73.37 gamma=60.00
Closest atoms and distances in Å follow each position.
Fractional positions:
1 Li 0.3137 0.3137 0.0588  6 Li 3.01-3.09
2 Li 0.8105 0.8105 0.5685  6 Li 2.83-2.91
3 Li 0.0605 0.5523 0.3267  6 Li 2.89-3.09
4 Li 0.5523 0.0605 0.3267  6 Li 2.89-3.09
5 Li 0.0614 0.5675 0.8036  6 Li 2.83-3.01
6 Li 0.5675 0.5675 0.8036  6 Li 2.83-3.01
7 Li 0.0605 0.0605 0.3267  6 Li 2.89-3.09
8 Li 0.5675 0.0614 0.8036  6 Li 2.83-3.01
9 Ca 0.4930 0.4930 0.5211  12 Li 3.23-3.49, 3 Ag 3.53
10 Ca 0.6237 0.6237 0.1289  12 Li 3.46-3.57, 4 Ca 3.76-3.80
11 Ca 0.0125 0.0125 0.9626  9 Li 3.32-3.52, 1 Ag 3.33
12 Ag 0.1270 0.1270 0.6189  12 Li 3.29-3.44, 4 Ca 3.33-3.53


# 3
Below is Ir2W after structural relaxation, with properties calculated at the PBE-GGA level.

## Properties
- energy (eV/atom) = -10.442

Unit cell a=6.1385 b=6.1385 c=6.1385 alpha=153.77 beta=153.77 gamma=37.43
Closest atoms and distances in Å follow each position.
Fractional positions:
1 Ir 0.9957 0.9957 0.0000  4 W 2.73, 8 Ir 2.79-2.83
2 Ir 0.6710 0.6710 0.0000  4 W 2.73, 8 Ir 2.79-2.83
3 W 0.3333 0.3333 0.0000  8 Ir 2.73, 4 W 2.79


# 4
Below is Pr2ErAu after structural relaxation, with properties calculated at the PBE-GGA level.

## Properties
- excess energy over the best structure of this formula in the dataset (eV per atom) = 0.399

Unit cell a=3.5514 b=3.5514 c=11.6858 alpha=81.26 beta=81.26 gamma=60.00
Closest atoms and distances in Å follow each position.
Fractional positions:
1 Er 0.0000 0.0000 0.0000  2 Pr 3.38, 6 Er 3.55
2 Au 0.5000 0.5000 0.5000  6 Pr 3.13
3 Pr 0.9020 0.9020 0.2941  3 Au 3.13, 1 Er 3.38
4 Pr 0.0980 0.0980 0.7059  3 Au 3.13, 1 Er 3.38


Which formula does entry 1 have?
Er2As4Rh5